The following is a DFT calculation (PBE) of a relaxed Tb4Nd4In crystal.

Computed properties:
The energy of formation from the pure elements comes out at -0.0724 eV/atom.

abc: 8.0301 8.0301 8.0301
angles: 95.50 95.50 143.94
Last column: nearest neighbours and their distance in Å.
Fractional positions:
Tb 0.0000 0.3352 0.3352  5 Tb 3.54-3.56, 6 Nd 3.57-3.66, 1 In 3.62
Tb 0.0000 0.6648 0.6648  5 Tb 3.54-3.56, 6 Nd 3.57-3.66, 1 In 3.62
Tb 0.3352 0.0000 0.3352  5 Tb 3.54-3.56, 6 Nd 3.57-3.66, 1 In 3.62
Tb 0.6648 0.0000 0.6648  5 Tb 3.54-3.56, 6 Nd 3.57-3.66, 1 In 3.62
Nd 0.3387 0.3387 0.6773  4 Nd 3.48-3.68, 2 In 3.50, 6 Tb 3.57-3.66
Nd 0.3387 0.6613 0.0000  4 Nd 3.48-3.68, 2 In 3.50, 6 Tb 3.57-3.66
Nd 0.6613 0.3387 0.0000  4 Nd 3.48-3.68, 2 In 3.50, 6 Tb 3.57-3.66
Nd 0.6613 0.6613 0.3227  4 Nd 3.48-3.68, 2 In 3.50, 6 Tb 3.57-3.66
In 0.0000 0.0000 0.0000  8 Nd 3.50, 4 Tb 3.62


The following is a DFT calculation (PBE) of a relaxed Tb2NdIn6 crystal.

Computed properties:
The energy of formation from the pure elements comes out at -0.4293 eV/atom.

abc: 8.6407 8.6407 3.6260
angles: 90.00 90.00 120.00
Last column: nearest neighbours and their distance in Å.
Fractional positions:
Tb 0.3333 0.6667 0.0000  12 In 3.40, 2 Tb 3.63
Tb 0.6667 0.3333 0.0000  12 In 3.40, 2 Tb 3.63
Nd 0.0000 0.0000 0.0000  12 In 3.41, 2 Nd 3.63
In 0.0000 0.3348 0.5000  3 In 2.86-2.89
In 0.0000 0.6652 0.5000  3 In 2.86-2.89
In 0.3348 0.0000 0.5000  3 In 2.86-2.89
In 0.3348 0.3348 0.5000  3 In 2.86-2.89
In 0.6652 0.0000 0.5000  3 In 2.86-2.89
In 0.6652 0.6652 0.5000  3 In 2.86-2.89